Here is a relaxed Ce6AsCl8 crystal from Alexandria. Energies are from PBE.

abc: 7.012 7.012 10.739
angles: 70.94 70.94 60.00
Atoms (fractional coordinates):
1 Ce 0.946 0.606 0.163
2 Ce 0.714 0.054 0.837
3 Ce 0.394 0.714 0.837
4 Ce 0.606 0.286 0.163
5 Ce 0.286 0.946 0.163
6 Ce 0.054 0.394 0.837
7 As 0.000 0.000 0.000
8 Cl 0.785 0.436 0.668
9 Cl 0.889 0.215 0.332
10 Cl 0.564 0.889 0.332
11 Cl 0.333 0.333 0.000
12 Cl 0.667 0.667 0.000
13 Cl 0.436 0.111 0.668
14 Cl 0.111 0.785 0.668
15 Cl 0.215 0.564 0.332

## Properties
Fermi-level density of states   32.7 states/eV/f.u.
E_form (uncorrected)   -1.7742 eV per atom
Total energy   -5.443 eV per atom